The following is a PBE calculation of a relaxed structure of Ba6PPt2I3, from Alexandria.

E	-48.20	eV/f.u.
symmetry	C2/m, No. 12
DOS at the Fermi energy	0.73	states/eV per atom

a = 8.1501 Å, b = 8.1501 Å, c = 8.9536 Å
α = 98.78°, β = 98.78°, γ = 120.01°
Last column: nearest neighbours and their distance in Å.
Element x y z (fractional)
1 Ba 0.0666 0.3984 0.1991  1 P 3.19, 2 Pt 3.21
2 Ba 0.2651 0.2651 0.8006  1 P 3.20, 2 Pt 3.21
3 Ba 0.3984 0.0666 0.1991  1 P 3.19, 2 Pt 3.21
4 Ba 0.6016 0.9334 0.8009  1 P 3.19, 2 Pt 3.21
5 Ba 0.7349 0.7349 0.1994  1 P 3.20, 2 Pt 3.21
6 Ba 0.9334 0.6016 0.8009  1 P 3.19, 2 Pt 3.21
7 P 0.0000 0.0000 0.0000  6 Ba 3.19-3.20
8 Pt 0.3332 0.6668 0.0000  6 Ba 3.21
9 Pt 0.6668 0.3332 0.0000  6 Ba 3.21
10 I 0.1653 0.8347 0.5000  6 Ba 3.72-3.76
11 I 0.5000 0.5000 0.5000  6 Ba 3.73-3.75
12 I 0.8347 0.1653 0.5000  6 Ba 3.72-3.76